No. 1
! PBE Nd12Y7Er, relaxed; values from VASP
! Energy relative to the lowest polymorph listed for this composition   0.0635 eV/atom
! Energy relative to the elements   0.278 eV per atom
&SYSTEM
  ibrav = 0, nat = 20, ntyp = 3
/
ATOMIC_SPECIES
Nd 144.24 Nd.upf
Y 88.91 Y.upf
Er 167.26 Er.upf
CELL_PARAMETERS angstrom
6.556 0.000 1.897
-3.705 9.471 4.620
-0.854 0.000 11.138
ATOMIC_POSITIONS crystal
Nd 0.727 0.476 0.065
Nd 0.208 0.935 0.541
Nd 0.286 0.212 0.210
Nd 0.504 0.790 0.421
Nd 0.749 0.541 0.524
Nd 0.925 0.421 0.788
Nd 0.075 0.579 0.212
Nd 0.251 0.459 0.476
Nd 0.496 0.210 0.579
Nd 0.714 0.788 0.790
Nd 0.792 0.065 0.459
Nd 0.273 0.524 0.935
Y 0.786 0.161 0.141
Y 0.073 0.859 0.301
Y 0.375 0.301 0.839
Y 0.500 0.000 0.000
Y 0.625 0.699 0.161
Y 0.927 0.141 0.699
Y 0.214 0.839 0.859
Er 0.000 0.000 0.000


No. 2
! PBE HfTi5C3, relaxed; values from VASP
! Energy relative to the elements   -0.603 eV per atom
&SYSTEM
  ibrav = 0, nat = 18, ntyp = 3
/
ATOMIC_SPECIES
Hf 178.49 Hf.upf
Ti 47.87 Ti.upf
C 12.01 C.upf
CELL_PARAMETERS angstrom
-2.859 -4.394 2.962
3.640 -1.922 4.394
-2.564 2.625 7.106
ATOMIC_POSITIONS crystal
Hf 0.896 0.896 0.305
Hf 0.104 0.104 0.695
Ti 0.634 0.035 0.671
Ti 0.300 0.700 0.000
Ti 0.236 0.236 0.969
Ti 0.569 0.569 0.634
Ti 0.431 0.431 0.366
Ti 0.764 0.764 0.031
Ti 0.035 0.634 0.671
Ti 0.700 0.300 0.000
Ti 0.366 0.965 0.329
Ti 0.965 0.366 0.329
C 0.334 0.334 0.166
C 0.342 0.342 0.668
C 0.000 0.000 0.000
C 0.000 0.000 0.500
C 0.666 0.666 0.834
C 0.658 0.658 0.332


No. 3
! PBE LiDyRh, relaxed; values from VASP
! Energy relative to the lowest polymorph listed for this composition   0.1439 eV/atom
! Energy relative to the elements   -0.391 eV per atom
&SYSTEM
  ibrav = 0, nat = 3, ntyp = 3
/
ATOMIC_SPECIES
Dy 162.50 Dy.upf
Rh 102.91 Rh.upf
Li 6.94 Li.upf
CELL_PARAMETERS angstrom
-0.084 -0.290 -3.460
-3.441 -0.454 0.121
1.144 4.960 1.300
ATOMIC_POSITIONS crystal
Dy 0.936 0.936 0.871
Rh 0.275 0.275 0.550
Li 0.640 0.640 0.279